1.
DFT (GGA-PBE) results for a geometry-optimized Ac2SnB3Rh12 structure.

a b c (Å): 7.5628 7.5628 18.1862
angles (deg): 90.00 90.00 120.00
Space group R-3m (No. 166, hexagonal axes)
Asymmetric unit:
Ac1 0.0000 0.0000 0.0962 x6
Sn1 0.0000 0.0000 0.5000 x3
B1 0.0000 0.5000 0.0000 x9
Rh1 0.0657 0.5329 0.8862 x18
Rh2 0.0758 0.5379 0.3090 x18

Calculated values
The formation energy comes out at -0.169 eV/atom. The value obtained for the total magnetization is 0.00 Bohr magnetons per cell.

***

2.
DFT (GGA-PBE) results for a geometry-optimized Ac3Rh2Au structure.

a b c (Å): 3.765 3.765 11.456
angles (deg): 90.00 90.00 90.00
Space group P4/mmm (No. 123)
Asymmetric unit:
Ac1 0.000 0.000 0.000 x1
Ac2 0.000 0.000 0.318 x2
Rh1 0.500 0.500 0.165 x2
Au1 0.500 0.500 0.500 x1

Calculated values
The formation energy comes out at -0.623 eV/atom. The value obtained for the total magnetization is 0.00 Bohr magnetons per cell.

***

3.
DFT (GGA-PBE) results for a geometry-optimized LiLu2Pb structure.

a b c (Å): 3.770 3.770 7.122
angles (deg): 90.00 90.00 90.00
Space group P4/mmm (No. 123)
Asymmetric unit:
Li1 0.000 0.000 0.000 x1
Lu1 0.500 0.500 0.237 x2
Pb1 0.000 0.000 0.500 x1

Calculated values
The formation energy comes out at -0.139 eV/atom. The value obtained for the total magnetization is 0.00 Bohr magnetons per cell.

***

4.
DFT (GGA-PBE) results for a geometry-optimized MgSc structure.

a b c (Å): 3.169 4.957 6.189
angles (deg): 90.00 102.40 90.00
Space group P2_1/m (No. 11)
Asymmetric unit:
Mg1 0.053 0.250 0.134 x2
Sc1 0.328 0.250 0.642 x2

Calculated values
The formation energy comes out at 0.008 eV/atom. The value obtained for the total magnetization is 0.00 Bohr magnetons per cell.

***

5.
DFT (GGA-PBE) results for a geometry-optimized LiPu2InO8 structure.

a b c (Å): 5.239 5.239 10.406
angles (deg): 90.00 90.00 90.00
Space group I-4 (No. 82)
Asymmetric unit:
Li1 0.000 0.000 0.000 x2
Pu1 0.000 0.000 0.500 x2
Pu2 0.000 0.500 0.750 x2
In1 0.000 0.500 0.250 x2
O1 0.221 0.766 0.357 x8
O2 0.223 0.725 0.607 x8

Calculated values
The uncorrected formation energy comes out at -2.08 eV per atom. The value obtained for the total magnetization is 8.00 Bohr magnetons per cell.

***

6.
DFT (GGA-PBE) results for a geometry-optimized MgScAl structure.

a b c (Å): 3.250 4.439 8.877
angles (deg): 90.00 100.40 90.00
Space group P2_1/m (No. 11)
Asymmetric unit:
Mg1 0.207 0.250 0.414 x2
Sc1 0.401 0.250 0.799 x2
Al1 0.041 0.250 0.084 x2

Calculated values
The formation energy comes out at -0.226 eV/atom. The value obtained for the total magnetization is 0.00 Bohr magnetons per cell.